[1]
Computed, not measured: a relaxed structure of Ca2Al12Pt7 at the PBE-GGA level of DFT.

Lattice parameters (Å, degrees): 10.0510 10.0510 4.1239 90.00 90.00 120.00
Space group P-6 (No. 174)
Asymmetric unit:
Ca1 0.0000 0.0000 0.0000 [1 per cell]
Ca2 0.3333 0.6667 0.5000 [1 per cell]
Al1 0.0239 0.2820 0.5000 [3 per cell]
Al2 0.1401 0.7502 0.0000 [3 per cell]
Al3 0.3759 0.1967 0.0000 [3 per cell]
Al4 0.5369 0.4157 0.5000 [3 per cell]
Pt1 0.0325 0.4528 0.0000 [3 per cell]
Pt2 0.2466 0.2316 0.5000 [3 per cell]
Pt3 0.6667 0.3333 0.0000 [1 per cell]

Computed properties:
- E_form: -958 meV per atom
- Crystal system: hexagonal
- V: 360.8 Å³/cell
- Total moment: 0.000 μB per formula unit


[2]
Computed, not measured: a relaxed structure of CaAlPt2 at the PBE-GGA level of DFT.

Lattice parameters (Å, degrees): 3.019 4.797 4.797 90.00 90.00 90.00
Space group Pmm2 (No. 25)
Asymmetric unit:
Ca1 0.000 0.000 0.000 [1 per cell]
Al1 0.000 0.500 0.499 [1 per cell]
Pt1 0.500 0.000 0.500 [1 per cell]
Pt2 0.500 0.500 0.998 [1 per cell]

Computed properties:
- E_form: -776 meV per atom
- Crystal system: orthorhombic
- V: 69.5 Å³/cell
- Total moment: 0.000 μB per formula unit